(1)
# SrH2SN

A relaxed structure of SrH2SN (PBE-GGA, Alexandria).

V: 14.4 A^3/atom
symmetry: P4mm
energy above the lowest structure with this stoichiometry: 0.996 eV per formula unit
Fermi-level density of states: 0.50 states/eV/atom
E: -18.79 eV/cell

Geometry as extended XYZ:
```
5
Lattice="3.029 0.000 0.000 0.000 3.029 0.000 0.000 0.000 7.841" Properties=species:S:1:pos:R:3 pbc="T T T"
Sr 0.000 0.000 0.000
H 0.000 1.515 5.208
H 1.515 0.000 5.208
S 1.515 1.515 1.861
N 0.000 0.000 5.399
```

---

(2)
# PmMgInGe

A relaxed structure of PmMgInGe (PBE-GGA, Alexandria).

V: 23.6 A^3/atom
symmetry: Pmmm
energy above the lowest structure with this stoichiometry: 0.000 eV per formula unit
Fermi-level density of states: 0.43 states/eV/atom
calculated formation energy: -44.1 kJ per mole of atoms
E: -15.53 eV/cell

Geometry as extended XYZ:
```
4
Lattice="4.336 0.000 0.000 0.000 4.466 0.000 0.000 0.000 4.874" Properties=species:S:1:pos:R:3 pbc="T T T"
Pm 0.000 0.000 0.000
Mg 0.000 2.233 2.437
In 2.168 0.000 2.437
Ge 2.168 2.233 0.000
```

---

(3)
# ScAsSCl2

A relaxed structure of ScAsSCl2 (PBE-GGA, Alexandria).

raw formation energy: -158 meV per atom
V: 24.5 A^3/atom
symmetry: P4/mmm
energy above the lowest structure with this stoichiometry: 2.832 eV per formula unit
Fermi-level density of states: 1.13 states/eV/atom
E: -19.59 eV/cell

Geometry as extended XYZ:
```
5
Lattice="4.908 0.000 0.000 0.000 4.908 0.000 0.000 0.000 5.091" Properties=species:S:1:pos:R:3 pbc="T T T"
Sc 0.000 0.000 0.000
As 2.454 2.454 2.546
S 2.454 2.454 0.000
Cl 0.000 2.454 2.546
Cl 2.454 0.000 2.546
```